1.
DFT (GGA-PBE) results for crystalline TaCd2Tc at its relaxed geometry.

It has space group Cm (No. 8), with a = 9.666 Å, b = 2.799 Å, c = 5.419 Å, α = 90.00°, β = 95.92° and γ = 90.00°. The distinct sites, in fractional coordinates, are Ta at (0.000, 0.000, 0.000), Cd at (0.249, 0.000, 0.709), Cd at (0.496, 0.000, 0.483) and Tc at (0.252, 0.500, 0.192).

Its formation energy is 0.3344 eV/atom. The polymorph energy (0 for the lowest one) is 92 kJ/mol of formula units. As for the spin magnetization: 0.00 μB/atom.

2.
DFT (GGA-PBE) results for crystalline TaCd2Tc at its relaxed geometry.

It has space group Pmmm (No. 47), with a = 2.804 Å, b = 4.631 Å, c = 5.558 Å, α = 90.00°, β = 90.00° and γ = 90.00°. The distinct sites, in fractional coordinates, are Ta at (0.000, 0.000, 0.000), Cd at (0.500, 0.500, 0.254) and Tc at (0.000, 0.000, 0.500).

Its formation energy is 0.3769 eV/atom. The polymorph energy (0 for the lowest one) is 108 kJ/mol of formula units. As for the spin magnetization: 0.00 μB/atom.

3.
DFT (GGA-PBE) results for crystalline TaCd2Tc at its relaxed geometry.

It has space group C2/m (No. 12), with a = 5.521 Å, b = 9.609 Å, c = 2.795 Å, α = 90.00°, β = 102.69° and γ = 90.00°. The distinct sites, in fractional coordinates, are Ta at (0.000, 0.000, 0.000), Cd at (0.250, 0.250, 0.500) and Tc at (0.000, 0.500, 0.000).

Its formation energy is 0.3739 eV/atom. The polymorph energy (0 for the lowest one) is 107 kJ/mol of formula units. As for the spin magnetization: 0.00 μB/atom.

4.
DFT (GGA-PBE) results for crystalline TaCd2Tc at its relaxed geometry.

It has space group Cmmm (No. 65), with a = 5.531 Å, b = 9.356 Å, c = 2.796 Å, α = 90.00°, β = 90.00° and γ = 90.00°. The distinct sites, in fractional coordinates, are Ta at (0.000, 0.000, 0.000), Cd at (0.250, 0.250, 0.500) and Tc at (0.000, 0.500, 0.000).

Its formation energy is 0.3932 eV/atom. The polymorph energy (0 for the lowest one) is 115 kJ/mol of formula units. As for the spin magnetization: 0.00 μB/atom.

5.
DFT (GGA-PBE) results for crystalline TaCd2Tc at its relaxed geometry.

It has space group I-4m2 (No. 119), with a = 4.210 Å, b = 4.210 Å, c = 8.075 Å, α = 90.00°, β = 90.00° and γ = 90.00°. The distinct sites, in fractional coordinates, are Ta at (0.000, 0.000, 0.000), Cd at (0.000, 0.000, 0.500), Cd at (0.000, 0.500, 0.250) and Tc at (0.000, 0.500, 0.750).

Its formation energy is 0.3767 eV/atom. The polymorph energy (0 for the lowest one) is 108 kJ/mol of formula units. As for the spin magnetization: 0.00 μB/atom.

6.
DFT (GGA-PBE) results for crystalline Ta2CdTc at its relaxed geometry.

It has space group P4mm (No. 99), with a = 2.793 Å, b = 2.793 Å, c = 9.183 Å, α = 90.00°, β = 90.00° and γ = 90.00°. The distinct sites, in fractional coordinates, are Ta at (0.000, 0.000, 0.000), Ta at (0.500, 0.500, 0.251), Cd at (0.500, 0.500, 0.735) and Tc at (0.000, 0.000, 0.489).

Its formation energy is 0.2928 eV/atom. As for the spin magnetization: 0.00 μB/atom.

7.
DFT (GGA-PBE) results for crystalline Ta2CdTc at its relaxed geometry.

It has space group Cmmm (No. 65), with a = 3.289 Å, b = 4.663 Å, c = 9.309 Å, α = 90.00°, β = 90.00° and γ = 90.00°. The distinct sites, in fractional coordinates, are Ta at (0.000, 0.000, 0.227), Cd at (0.000, 0.500, 0.500) and Tc at (0.000, 0.500, 0.000).

Its formation energy is 0.0731 eV/atom. As for the spin magnetization: 0.00 μB/atom.

8.
DFT (GGA-PBE) results for crystalline TaCd2Tc at its relaxed geometry.

It has space group Cmmm (No. 65), with a = 3.335 Å, b = 4.491 Å, c = 9.715 Å, α = 90.00°, β = 90.00° and γ = 90.00°. The distinct sites, in fractional coordinates, are Ta at (0.000, 0.000, 0.000), Cd at (0.000, 0.500, 0.259) and Tc at (0.000, 0.000, 0.500).

Its formation energy is 0.4410 eV/atom. The polymorph energy (0 for the lowest one) is 133 kJ/mol of formula units. As for the spin magnetization: 0.00 μB/atom.